[1]
This record from the Alexandria database describes Th2Zn4CdAu3 after structural relaxation. The functional is PBE-GGA.

a b c (Å): 4.267 4.267 11.423
angles (deg): 90.00 90.00 90.00
Positions (direct):
Th 0.000 0.500 0.240
Th 0.500 0.000 0.760
Zn 0.000 0.000 0.000
Zn 0.000 0.500 0.641
Zn 0.500 0.000 0.359
Zn 0.500 0.500 0.000
Cd 0.000 0.000 0.500
Au 0.000 0.500 0.863
Au 0.500 0.000 0.137
Au 0.500 0.500 0.500

Energy relative to the elements in eV per atom: -0.3869
Calculated volume in Å³/atom: 20.79
Total energy in eV for the cell shown: -34.55

***

[2]
This record from the Alexandria database describes ThZn2Cd2Au2 after structural relaxation. The functional is PBE-GGA.

a b c (Å): 8.697 8.697 8.697
angles (deg): 30.40 30.40 30.40
Positions (direct):
Th 0.000 0.000 0.000
Zn 0.412 0.412 0.412
Zn 0.588 0.588 0.588
Cd 0.137 0.137 0.137
Cd 0.863 0.863 0.863
Au 0.260 0.260 0.260
Au 0.740 0.740 0.740

Energy relative to the elements in eV per atom: -0.3497
Calculated volume in Å³/atom: 21.34
Total energy in eV for the cell shown: -20.80

***

[3]
This record from the Alexandria database describes ThZn2CdAu5 after structural relaxation. The functional is PBE-GGA.

a b c (Å): 4.875 4.875 7.900
angles (deg): 90.00 90.00 90.00
Positions (direct):
Th 0.000 0.000 0.000
Zn 0.500 0.500 0.348
Zn 0.500 0.500 0.652
Cd 0.000 0.000 0.500
Au 0.000 0.500 0.242
Au 0.000 0.500 0.758
Au 0.500 0.000 0.242
Au 0.500 0.000 0.758
Au 0.500 0.500 0.000

Energy relative to the elements in eV per atom: -0.2571
Calculated volume in Å³/atom: 20.86
Total energy in eV for the cell shown: -29.58